## CrTeRh (GGA-PBEsol)

Data for a relaxed structure of CrTeRh.

Geometry as POSCAR:
```
CrTeRh
1.0
3.1182 0.0000 0.0000
0.0000 4.3485 0.0000
0.0000 -2.1742 3.7659
Cr Rh Te
1 1 1
direct
0.0001 0.0000 0.0000 Cr
0.5000 0.6667 0.3333 Rh
0.4999 0.3333 0.6667 Te
```

Calculated values
The calculated volume is 17.021 Å³ per atom. The value obtained for the uncorrected energy is -7.121 eV per atom. The calculation puts the total magnetic moment at 3.56 Bohr magnetons per cell.